This record from Alexandria describes CaLaTm2 after structural relaxation. The functional is PBE.

Unit cell a=5.0890 b=5.0890 c=5.2698 alpha=90.00 beta=90.00 gamma=90.00
Space group P4/mmm (No. 123)
Inequivalent atoms, fractional coordinates:
Ca: 0.0000 0.0000 0.0000 (multiplicity 1)
La: 0.5000 0.5000 0.0000 (multiplicity 1)
Tm: 0.0000 0.5000 0.5000 (multiplicity 2)

E above lowest polymorph: 0.063 eV/atom
total energy: -15.31 eV/cell
magnetic moment: 0.00 Bohr magnetons per cell
V: 136 Å³/cell
energy of formation from the pure elements: 0.141 eV per atom


This record from Alexandria describes ThS2Cl4 after structural relaxation. The functional is PBE.

Unit cell a=3.6001 b=7.1203 c=10.9888 alpha=77.15 beta=80.76 gamma=75.69
Space group P-1 (No. 2)
Inequivalent atoms, fractional coordinates:
Th: 0.0000 0.0000 0.0000 (multiplicity 1)
S: 0.1816 0.0708 0.5194 (multiplicity 2)
Cl: 0.3310 0.2259 0.1186 (multiplicity 2)
Cl: 0.4681 0.2347 0.8301 (multiplicity 2)

total energy: -32.23 eV/cell
formation energy without anion corrections: -1.3096 eV/atom
magnetic moment: 0.00 Bohr magnetons per cell
V: 264 Å³/cell


This record from Alexandria describes La4Tl5In after structural relaxation. The functional is PBE.

Unit cell a=17.3610 b=5.3889 c=6.7878 alpha=90.00 beta=104.20 gamma=90.00
Space group C2/m (No. 12)
Inequivalent atoms, fractional coordinates:
La: 0.0923 0.0000 0.3139 (multiplicity 4)
La: 0.1916 0.5000 0.8252 (multiplicity 4)
Tl: 0.0000 0.5000 0.0000 (multiplicity 2)
Tl: 0.0979 0.0000 0.8262 (multiplicity 4)
Tl: 0.2163 0.5000 0.3346 (multiplicity 4)
In: 0.0000 0.5000 0.5000 (multiplicity 2)

E above lowest polymorph: 0.000 eV/atom
total energy: -76.49 eV/cell
magnetic moment: 0.00 Bohr magnetons per cell
V: 616 Å³/cell
energy of formation from the pure elements: -0.396 eV per atom


This record from Alexandria describes AcUTl2S6 after structural relaxation. The functional is PBE.

Unit cell a=7.2062 b=7.5084 c=12.7980 alpha=90.00 beta=124.24 gamma=90.00
Space group P2_1/c (No. 14)
Inequivalent atoms, fractional coordinates:
Ac: 0.0000 0.0000 0.0000 (multiplicity 2)
U: 0.5000 0.0000 0.5000 (multiplicity 2)
Tl: 0.2406 0.0540 0.7453 (multiplicity 4)
S: 0.1512 0.1645 0.4511 (multiplicity 4)
S: 0.2818 0.7071 0.4389 (multiplicity 4)
S: 0.3789 0.0522 0.2691 (multiplicity 4)

total energy: -109.97 eV/cell
formation energy without anion corrections: -1.0091 eV/atom
magnetic moment: 0.00 Bohr magnetons per cell
V: 572 Å³/cell


This record from Alexandria describes Pu2PaRuN4 after structural relaxation. The functional is PBE.

Unit cell a=3.3573 b=11.5131 c=11.6274 alpha=90.00 beta=90.00 gamma=90.00
Space group Cmcm (No. 63)
Inequivalent atoms, fractional coordinates:
Pu: 0.0000 0.1307 0.0540 (multiplicity 8)
Pa: 0.0000 0.3881 0.2500 (multiplicity 4)
Ru: 0.0000 0.3543 0.7500 (multiplicity 4)
N: 0.0000 0.0355 0.2500 (multiplicity 4)
N: 0.0000 0.2164 0.6292 (multiplicity 8)
N: 0.0000 0.5000 0.0000 (multiplicity 4)

total energy: -354.14 eV/cell
formation energy without anion corrections: -0.9748 eV/atom
magnetic moment: 33.86 Bohr magnetons per cell
V: 449 Å³/cell


This record from Alexandria describes BaCd6Pd12 after structural relaxation. The functional is PBE.

Unit cell a=12.0012 b=12.0012 c=9.0210 alpha=90.00 beta=90.00 gamma=120.00
Space group R-3m (No. 166, hexagonal axes)
Inequivalent atoms, fractional coordinates:
Ba: 0.0000 0.0000 0.0000 (multiplicity 3)
Cd: 0.0571 0.5286 0.2379 (multiplicity 18)
Pd: 0.0000 0.3880 0.5000 (multiplicity 18)
Pd: 0.0821 0.1642 0.2920 (multiplicity 18)

total energy: -219.67 eV/cell
magnetic moment: 0.00 Bohr magnetons per cell
V: 1125 Å³/cell
energy of formation from the pure elements: -0.184 eV per atom


This record from Alexandria describes Ti2AlO4 after structural relaxation. The functional is PBE.

Unit cell a=5.6669 b=6.0821 c=8.1249 alpha=90.00 beta=90.00 gamma=90.00
Space group Imma (No. 74)
Inequivalent atoms, fractional coordinates:
Ti: 0.0000 0.0000 0.0000 (multiplicity 4)
Ti: 0.2500 0.2500 0.2500 (multiplicity 4)
Al: 0.2500 0.2500 0.7500 (multiplicity 4)
O: 0.0000 0.0313 0.7473 (multiplicity 8)
O: 0.2366 0.2500 0.9844 (multiplicity 8)

E above lowest polymorph: 0.158 eV/atom
total energy: -230.65 eV/cell
formation energy without anion corrections: -2.6140 eV/atom
magnetic moment: 0.00 Bohr magnetons per cell
V: 280 Å³/cell


This record from Alexandria describes NaNiP2 after structural relaxation. The functional is PBE.

Unit cell a=4.6357 b=4.6357 c=14.9187 alpha=90.00 beta=90.00 gamma=90.00
Space group I4_1/amd (No. 141, origin choice 2)
Inequivalent atoms, fractional coordinates:
Na: 0.0000 0.2500 0.3750 (multiplicity 4)
Ni: 0.0000 0.2500 0.8750 (multiplicity 4)
P: 0.0000 0.0000 0.0000 (multiplicity 8)

E above lowest polymorph: 0.159 eV/atom
total energy: -74.17 eV/cell
magnetic moment: 0.00 Bohr magnetons per cell
V: 321 Å³/cell
energy of formation from the pure elements: -0.156 eV per atom


This record from Alexandria describes Ce2Ho3UAs6 after structural relaxation. The functional is PBE.

Unit cell a=18.0404 b=4.1277 c=8.2905 alpha=90.00 beta=103.42 gamma=90.00
Space group C2/m (No. 12)
Inequivalent atoms, fractional coordinates:
Ce: 0.1657 0.0000 0.3324 (multiplicity 4)
Ho: 0.0000 0.5000 0.5000 (multiplicity 2)
Ho: 0.1680 0.0000 0.8329 (multiplicity 4)
U: 0.0000 0.5000 0.0000 (multiplicity 2)
As: 0.0024 0.0000 0.7528 (multiplicity 4)
As: 0.1655 0.5000 0.0778 (multiplicity 4)
As: 0.1656 0.5000 0.5865 (multiplicity 4)

total energy: -162.12 eV/cell
magnetic moment: 7.76 Bohr magnetons per cell
V: 600 Å³/cell
energy of formation from the pure elements: -1.356 eV per atom


This record from Alexandria describes CuTcPd3 after structural relaxation. The functional is PBE.

Unit cell a=4.5529 b=4.5529 c=4.5529 alpha=90.00 beta=90.00 gamma=90.00
Space group Pm-3m (No. 221)
Inequivalent atoms, fractional coordinates:
Cu: 0.0000 0.0000 0.0000 (multiplicity 1)
Tc: 0.5000 0.5000 0.5000 (multiplicity 1)
Pd: 0.0000 0.0000 0.5000 (multiplicity 3)

E above lowest polymorph: 0.000 eV/atom
total energy: -24.69 eV/cell
magnetic moment: 4.28 Bohr magnetons per cell
V: 94 Å³/cell
energy of formation from the pure elements: 1.070 eV per atom


This record from Alexandria describes TaBe2Tl after structural relaxation. The functional is PBE.

Unit cell a=6.7193 b=6.7193 c=5.6561 alpha=90.00 beta=90.00 gamma=90.00
Space group I-42d (No. 122)
Inequivalent atoms, fractional coordinates:
Ta: 0.0000 0.0000 0.0000 (multiplicity 4)
Be: 0.2443 0.7500 0.6250 (multiplicity 8)
Tl: 0.0000 0.0000 0.5000 (multiplicity 4)

E above lowest polymorph: 0.452 eV/atom
total energy: -73.75 eV/cell
magnetic moment: 0.00 Bohr magnetons per cell
V: 255 Å³/cell
energy of formation from the pure elements: 0.808 eV per atom


This record from Alexandria describes ScVTc after structural relaxation. The functional is PBE.

Unit cell a=4.3515 b=4.3515 c=2.9429 alpha=90.00 beta=90.00 gamma=120.00
Space group P3m1 (No. 156)
Inequivalent atoms, fractional coordinates:
Sc: 0.0000 0.0000 0.0000 (multiplicity 1)
V: 0.3333 0.6667 0.5981 (multiplicity 1)
Tc: 0.6667 0.3333 0.3518 (multiplicity 1)

E above lowest polymorph: 0.134 eV/atom
total energy: -26.02 eV/cell
magnetic moment: 0.00 Bohr magnetons per cell
V: 48 Å³/cell
energy of formation from the pure elements: -0.067 eV per atom


Please write out number 7 again, unchanged.
This record from Alexandria describes Ti2AlO4 after structural relaxation. The functional is PBE.

Unit cell a=5.6669 b=6.0821 c=8.1249 alpha=90.00 beta=90.00 gamma=90.00
Space group Imma (No. 74)
Inequivalent atoms, fractional coordinates:
Ti: 0.0000 0.0000 0.0000 (multiplicity 4)
Ti: 0.2500 0.2500 0.2500 (multiplicity 4)
Al: 0.2500 0.2500 0.7500 (multiplicity 4)
O: 0.0000 0.0313 0.7473 (multiplicity 8)
O: 0.2366 0.2500 0.9844 (multiplicity 8)

E above lowest polymorph: 0.158 eV/atom
total energy: -230.65 eV/cell
formation energy without anion corrections: -2.6140 eV/atom
magnetic moment: 0.00 Bohr magnetons per cell
V: 280 Å³/cell


Which value of magnetic moment does entry 2 give? 0.00 Bohr magnetons per cell